1.
! CeZrS2 GGA-PBE optimized geometry; values from VASP
! - Mass density: 6.07 Mg/m³
! - Crystal system: trigonal
! - Polymorph energy (0 for the lowest one): 0.000 eV per atom
! - D(E_F): 1.221 states/eV/atom
&SYSTEM
  ibrav = 0, nat = 4, ntyp = 3
/
ATOMIC_SPECIES
Ce 140.12 Ce.upf
Zr 91.22 Zr.upf
S 32.06 S.upf
ATOMIC_POSITIONS angstrom
Ce 0.000 0.000 0.000
Zr 0.000 0.000 9.330
S 0.000 0.000 4.535
S 0.000 0.000 14.124
CELL_PARAMETERS angstrom
1.937 1.118 6.220
-1.937 1.118 6.220
0.000 -2.237 6.220

2.
! Mg2CrOs GGA-PBE optimized geometry; values from VASP
! - Mass density: 7.84 Mg/m³
! - Crystal system: trigonal
! - Polymorph energy (0 for the lowest one): 0.389 eV per atom
! - D(E_F): 1.171 states/eV/atom
&SYSTEM
  ibrav = 0, nat = 4, ntyp = 3
/
ATOMIC_SPECIES
Mg 24.30 Mg.upf
Cr 52.00 Cr.upf
Os 190.23 Os.upf
ATOMIC_POSITIONS angstrom
Mg 0.000 0.000 6.906
Mg 0.000 0.000 20.671
Cr 0.000 0.000 13.788
Os 0.000 0.000 0.000
CELL_PARAMETERS angstrom
1.391 0.803 9.192
-1.391 0.803 9.192
0.000 -1.606 9.192

3.
! CuSnF4 GGA-PBE optimized geometry; values from VASP
! - Mass density: 4.72 Mg/m³
! - Crystal system: orthorhombic
! - E_tot: -4.258 eV per atom
&SYSTEM
  ibrav = 0, nat = 12, ntyp = 3
/
ATOMIC_SPECIES
Cu 63.55 Cu.upf
Sn 118.71 Sn.upf
F 19.00 F.upf
ATOMIC_POSITIONS angstrom
Cu 0.000 0.000 0.000
Cu 2.725 2.791 0.000
Sn 0.000 0.000 2.986
Sn 0.000 2.791 0.000
F 1.113 1.339 2.061
F 1.113 4.243 3.910
F 1.446 1.244 4.984
F 1.446 4.337 0.988
F 4.003 1.244 0.988
F 4.003 4.337 4.984
F 4.336 1.339 3.910
F 4.336 4.243 2.061
CELL_PARAMETERS angstrom
5.449 0.000 0.000
0.000 5.581 0.000
0.000 0.000 5.972